Hf2Mg2Cd3 (PBE, relaxed); SG = Cmmm (65); E_form = 0.1145 eV per atom
1.0
4.776 0.000 0.634
0.000 2.990 0.000
0.974 0.000 10.972
Hf Mg Cd
2 2 3
Direct
0.289 0.500 0.423
0.711 0.500 0.577
0.430 0.500 0.140
0.570 0.500 0.860
0.849 0.000 0.302
0.000 0.000 0.000
0.151 0.000 0.698

---

HfMgCd6 (PBE, relaxed); SG = P4/mmm (123); E_form = -0.0049 eV per atom
1.0
4.458 0.000 0.000
0.000 4.458 0.000
0.000 0.000 8.676
Cd Mg Hf
6 1 1
Direct
0.500 0.500 0.500
0.000 0.500 0.251
0.500 0.000 0.251
0.500 0.000 0.749
0.500 0.500 0.000
0.000 0.500 0.749
0.000 0.000 0.000
0.000 0.000 0.500